(1)
# AgRh3S

AgRh3S after structural relaxation (PBE, Alexandria).

The space group is Pm-3m (No. 221) and the conventional cell measures 4.371, 4.371 and 4.371 Å, with angles of 90.00, 90.00 and 90.00 degrees. Symmetry generates all atoms from Ag at (0.000, 0.000, 0.000), Rh at (0.000, 0.500, 0.500) and S at (0.500, 0.500, 0.500).

The density of states at the Fermi level is 2.7 states/eV/f.u. The distance to the lowest polymorph of the same formula is 0 meV/atom. For the magnetization, the calculation gives 0.00 μB/f.u.



(2)
# Cs6TeCl4

Cs6TeCl4 after structural relaxation (PBE, Alexandria).

The space group is Cmcm (No. 63) and the conventional cell measures 5.153, 16.510 and 25.122 Å, with angles of 90.00, 90.00 and 90.00 degrees. Symmetry generates all atoms from Cs at (0.000, 0.000, 0.000), Cs at (0.000, 0.182, 0.250), Cs at (0.000, 0.269, 0.588), Cs at (0.000, 0.451, 0.163), Te at (0.000, 0.158, 0.750), Cl at (0.000, 0.095, 0.125) and Cl at (0.000, 0.361, 0.039).

The density of states at the Fermi level is 0.0 states/eV/f.u. The value obtained for the electronic total energy is -3.11 eV per atom. For the magnetization, the calculation gives 0.00 μB/f.u.



(3)
# ZrScRu2

ZrScRu2 after structural relaxation (PBE, Alexandria).

The space group is Fm-3m (No. 225) and the conventional cell measures 6.485, 6.485 and 6.485 Å, with angles of 90.00, 90.00 and 90.00 degrees. Symmetry generates all atoms from Zr at (0.000, 0.000, 0.000), Sc at (0.000, 0.000, 0.500) and Ru at (0.250, 0.250, 0.250).

The density of states at the Fermi level is 2.0 states/eV/f.u. The formation energy comes out at -0.656 eV per atom. For the magnetization, the calculation gives 0.00 μB/f.u.



(4)
# Sr2SbIr

Sr2SbIr after structural relaxation (PBE, Alexandria).

The space group is I4/mmm (No. 139) and the conventional cell measures 4.982, 4.982 and 8.690 Å, with angles of 90.00, 90.00 and 90.00 degrees. Symmetry generates all atoms from Sr at (0.000, 0.500, 0.250), Sb at (0.000, 0.000, 0.000) and Ir at (0.000, 0.000, 0.500).

The density of states at the Fermi level is 0.6 states/eV/f.u. The value obtained for the electronic total energy is -4.38 eV per atom. For the magnetization, the calculation gives 0.00 μB/f.u.



(5)
# SmB2

SmB2 after structural relaxation (PBE, Alexandria).

The space group is P6/mmm (No. 191) and the conventional cell measures 3.3276, 3.3276 and 4.0353 Å, with angles of 90.00, 90.00 and 120.00 degrees. Symmetry generates all atoms from Sm at (0.0000, 0.0000, 0.0000) and B at (0.3333, 0.6667, 0.5000).

The density of states at the Fermi level is 1.1 states/eV/f.u. The formation energy comes out at -0.394 eV per atom. The distance to the lowest polymorph of the same formula is 0 meV/atom. For the magnetization, the calculation gives 0.00 μB/f.u.



(6)
# ZrZn2Ru2

ZrZn2Ru2 after structural relaxation (PBE, Alexandria).

The space group is I4/mmm (No. 139) and the conventional cell measures 3.482, 3.482 and 13.494 Å, with angles of 90.00, 90.00 and 90.00 degrees. Symmetry generates all atoms from Zr at (0.000, 0.000, 0.000), Zn at (0.000, 0.500, 0.250) and Ru at (0.000, 0.000, 0.395).

The density of states at the Fermi level is 3.4 states/eV/f.u. The formation energy comes out at -0.020 eV per atom. The distance to the lowest polymorph of the same formula is 154 meV/atom. For the magnetization, the calculation gives 0.00 μB/f.u.



(7)
# Pm6SiNi2I3

Pm6SiNi2I3 after structural relaxation (PBE, Alexandria).

The space group is C2/m (No. 12) and the conventional cell measures 7.261, 12.557 and 8.215 Å, with angles of 90.00, 107.14 and 90.00 degrees. Symmetry generates all atoms from Pm at (0.216, 0.000, 0.189), Pm at (0.238, 0.327, 0.190), Si at (0.000, 0.500, 0.000), Ni at (0.000, 0.168, 0.000), I at (0.000, 0.000, 0.500) and I at (0.000, 0.339, 0.500).

The density of states at the Fermi level is 11.1 states/eV/f.u. The value obtained for the electronic total energy is -4.89 eV per atom. For the magnetization, the calculation gives 0.00 μB/f.u.



(8)
# Na3CaU2Te6

Na3CaU2Te6 after structural relaxation (PBE, Alexandria).

The space group is C2/m (No. 12) and the conventional cell measures 7.768, 13.453 and 7.964 Å, with angles of 90.00, 108.99 and 90.00 degrees. Symmetry generates all atoms from Na at (0.000, 0.000, 0.000), Na at (0.000, 0.336, 0.000), Ca at (0.000, 0.500, 0.500), U at (0.000, 0.167, 0.500), Te at (0.236, 0.000, 0.735) and Te at (0.249, 0.329, 0.734).

The density of states at the Fermi level is 15.9 states/eV/f.u. The value obtained for the electronic total energy is -4.91 eV per atom. For the magnetization, the calculation gives 5.00 μB/f.u.